A plane-wave DFT calculation with SCAN was carried out for a crystal of Mg3TcAu relaxed with PBEsol.

CIF file:
```
data_Mg3TcAu
_chemical_formula_sum 'Mg3 Tc1 Au1'
_symmetry_space_group_name_H-M 'P m -3 m'
_symmetry_Int_Tables_number 221
_symmetry_space_group_name_Hall '-P 4 2 3'
_cell_length_a 4.8703
_cell_length_b 4.8703
_cell_length_c 4.8703
_cell_angle_alpha 90.00
_cell_angle_beta 90.00
_cell_angle_gamma 90.00
loop_
_atom_site_label
_atom_site_fract_x
_atom_site_fract_y
_atom_site_fract_z
Mg1 0.0000 0.0000 0.5000
Tc1 0.0000 0.0000 0.0000
Au1 0.5000 0.5000 0.5000
```

Final energy ... -114.6 eV/cell
ρ ... 5.3 g cm⁻³
D(E_F) ... 3.61 states/eV/cell
Crystal system ... cubic
Energy relative to the elements ... 0.91 eV per atom
Magnetization ... 1.42 μB/cell